VASP calculation (GGA-PBE) on an optimized crystal structure of TmZn2Ge.

For the raw total energy, the calculation gives -10.31 eV per formula unit. The energy of formation comes out at 333 meV/atom. The calculation puts the magnetization at 0.00 μB/f.u. The value obtained for the energy above the most stable polymorph in this dataset is 739 meV per atom. The theoretical density comes out at 7.22 g/cm3.

The structure belongs to space group R-3m (No. 166, hexagonal axes); the cell edges are 3.1233, 3.1233 and 30.4066 Å and the angles 90.00°, 90.00° and 120.00°. The asymmetric unit holds Tm at (0.0000, 0.0000, 0.0000), Zn at (0.0000, 0.0000, 0.0960) and Ge at (0.0000, 0.0000, 0.5000).